Density functional theory data (PBE) for an optimized crystal structure of Y8Th4Sc.

Computed properties:
Calculated formation energy in meV/atom: 191.3
Raw total energy in eV per cell: -85.24
Space-group type: R-3m, No. 166

Cell: 7.375 7.375 9.831 Å, 90.00 112.03 120.00°
Fractional coordinates of all 13 atoms:
1 Y 0.943 0.196 0.690
2 Y 0.493 0.747 0.690
3 Y 0.559 0.780 0.339
4 Y 0.057 0.804 0.310
5 Y 0.943 0.747 0.690
6 Y 0.441 0.220 0.661
7 Y 0.507 0.253 0.310
8 Y 0.057 0.253 0.310
9 Th 0.500 0.000 0.000
10 Th 0.500 0.500 0.000
11 Th 0.000 0.000 0.000
12 Th 0.000 0.500 0.000
13 Sc 0.000 0.500 0.500


Density functional theory data (PBE) for an optimized crystal structure of YTh4Sc.

Computed properties:
Calculated formation energy in meV/atom: 51.8
Raw total energy in eV per cell: -42.16
Space-group type: C2/m, No. 12

Cell: 3.533 7.901 9.340 Å, 126.40 100.90 102.92°
Fractional coordinates of all 6 atoms:
1 Th 0.837 0.005 0.174
2 Th 0.672 0.506 0.341
3 Th 0.324 0.488 0.663
4 Th 0.158 0.990 0.830
5 Y 0.998 0.497 0.002
6 Sc 0.498 0.997 0.502


Density functional theory data (PBE) for an optimized crystal structure of YThSc.

Computed properties:
Calculated formation energy in meV/atom: 29.2
Raw total energy in eV per cell: -40.26
Energy above the lowest structure with this stoichiometry in meV/atom: 0
Space-group type: P-1, No. 2

Cell: 3.469 6.680 9.361 Å, 59.72 90.03 74.98°
Fractional coordinates of all 6 atoms:
1 Th 0.116 0.768 0.348
2 Th 0.884 0.232 0.652
3 Y 0.640 0.718 0.023
4 Y 0.360 0.282 0.977
5 Sc 0.627 0.750 0.660
6 Sc 0.373 0.250 0.340